(1)
# NaCe2Pd9

Crystalline NaCe2Pd9 at its relaxed geometry (PBE-GGA, Alexandria).

Calculated values
The formation enthalpy at 0 K comes out at -56.9 kJ per mole of atoms. Its density of states at the Fermi level is 5.779 states/eV per cell.

POSCAR file:
```
NaCe2Pd9
1.0
-1.9759 2.6451 -2.5020
-1.8431 -3.1817 -1.9081
-9.2395 0.5975 7.9286
Na Ce Pd
1 2 9
direct
0.0000 0.0000 0.0000 Na
0.0000 0.0000 0.3250 Ce
0.0000 0.0000 0.6750 Ce
0.5000 0.5000 0.0000 Pd
0.5000 0.5000 0.3336 Pd
0.5000 0.5000 0.6664 Pd
0.5000 0.0000 0.1671 Pd
0.5000 0.0000 0.5000 Pd
0.5000 0.0000 0.8329 Pd
0.0000 0.5000 0.1671 Pd
0.0000 0.5000 0.5000 Pd
0.0000 0.5000 0.8329 Pd
```


(2)
# Zr4W

Crystalline Zr4W at its relaxed geometry (PBE-GGA, Alexandria).

Calculated values
The formation enthalpy at 0 K comes out at 77.2 kJ per mole of atoms. Its density of states at the Fermi level is 8.182 states/eV per cell.

POSCAR file:
```
Zr4W
1.0
5.0792 0.0000 0.0000
0.0000 5.0792 0.0000
0.0000 0.0000 5.0792
Zr W
4 1
direct
0.0000 0.0000 0.0000 Zr
0.5000 0.0000 0.5000 Zr
0.0000 0.5000 0.5000 Zr
0.5000 0.5000 0.0000 Zr
0.5000 0.5000 0.5000 W
```


(3)
# BaLi2Mo

Crystalline BaLi2Mo at its relaxed geometry (PBE-GGA, Alexandria).

Calculated values
The formation enthalpy at 0 K comes out at 81.5 kJ per mole of atoms. Its density of states at the Fermi level is 2.622 states/eV per cell.

POSCAR file:
```
BaLi2Mo
1.0
6.0000 0.0157 0.0541
-2.7852 5.2100 -0.0247
0.4297 0.8143 2.8014
Ba Li Mo
1 2 1
direct
0.5000 0.5000 0.0000 Ba
0.0000 0.0000 0.0000 Li
0.5000 0.0000 0.5000 Li
0.0000 0.5000 0.5000 Mo
```


(4)
# Sn2BiPt

Crystalline Sn2BiPt at its relaxed geometry (PBE-GGA, Alexandria).

Calculated values
The formation enthalpy at 0 K comes out at -4.6 kJ per mole of atoms. Its density of states at the Fermi level is 5.939 states/eV per cell.

POSCAR file:
```
Sn2BiPt
1.0
-2.6796 -1.2247 5.5038
3.9628 -4.7439 0.8737
5.0708 1.2879 6.2958
Bi Pt Sn
2 2 4
direct
0.0000 0.0000 0.0000 Bi
0.7500 0.2500 0.5000 Bi
0.5000 0.5000 0.0000 Pt
0.2500 0.7500 0.5000 Pt
0.5632 0.1250 0.2500 Sn
0.1868 0.6250 0.2500 Sn
0.3750 0.4368 0.7500 Sn
0.8750 0.8132 0.7500 Sn
```


(5)
# Nd4Y2Tm

Crystalline Nd4Y2Tm at its relaxed geometry (PBE-GGA, Alexandria).

Calculated values
The formation enthalpy at 0 K comes out at 46.8 kJ per mole of atoms. Its density of states at the Fermi level is 11.999 states/eV per cell.

POSCAR file:
```
Nd4Y2Tm
1.0
-2.0937 1.8668 -5.3385
0.0386 -5.8234 -2.0515
-6.1518 2.1212 3.1544
Nd Y Tm
4 2 1
direct
0.5000 0.6369 0.2739 Nd
0.0000 0.8085 0.6170 Nd
0.5000 0.3631 0.7261 Nd
0.0000 0.1915 0.3830 Nd
0.5000 0.1124 0.2248 Y
0.5000 0.8876 0.7752 Y
0.0000 0.5000 0.0000 Tm
```


(6)
# BeAuCl2

Crystalline BeAuCl2 at its relaxed geometry (PBE-GGA, Alexandria).

Calculated values
The calculation puts the formation energy from raw total energies at 333 meV per atom. Its density of states at the Fermi level is 1.473 states/eV per cell.

POSCAR file:
```
BeAuCl2
1.0
7.1410 0.0409 0.0000
5.2790 4.8092 0.0000
-6.2100 -2.4250 2.5595
Be Au Cl
1 1 2
direct
0.7500 0.2500 0.5000 Be
0.5000 0.5000 0.0000 Au
0.0000 0.0000 0.0000 Cl
0.2500 0.7500 0.5000 Cl
```


(7)
# LaTh2Rh

Crystalline LaTh2Rh at its relaxed geometry (PBE-GGA, Alexandria).

Calculated values
The formation enthalpy at 0 K comes out at -43.5 kJ per mole of atoms. Its density of states at the Fermi level is 16.978 states/eV per cell.

POSCAR file:
```
LaTh2Rh
1.0
6.4375 0.0000 0.0000
0.0000 7.2468 0.0000
0.0000 0.0000 10.0667
La Th Rh
4 8 4
direct
0.6500 0.5395 0.2500 La
0.8500 0.0395 0.2500 La
0.3500 0.4605 0.7500 La
0.1500 0.9605 0.7500 La
0.1544 0.6805 0.0608 Th
0.3456 0.1805 0.4392 Th
0.8456 0.3195 0.5608 Th
0.6544 0.8195 0.9392 Th
0.8456 0.3195 0.9392 Th
0.6544 0.8195 0.5608 Th
0.1544 0.6805 0.4392 Th
0.3456 0.1805 0.0608 Th
0.1228 0.3921 0.2500 Rh
0.3772 0.8921 0.2500 Rh
0.8772 0.6079 0.7500 Rh
0.6228 0.1079 0.7500 Rh
```


(8)
# ScTi2Pt2

Crystalline ScTi2Pt2 at its relaxed geometry (PBE-GGA, Alexandria).

Calculated values
The formation enthalpy at 0 K comes out at -72.3 kJ per mole of atoms. Its density of states at the Fermi level is 12.912 states/eV per cell.

POSCAR file:
```
ScTi2Pt2
1.0
7.8365 0.0000 0.0000
0.0000 7.8365 0.0000
0.0000 0.0000 2.8023
Sc Pt Ti
2 4 4
direct
0.0000 0.0000 0.0000 Sc
0.5000 0.5000 0.0000 Sc
0.1560 0.6560 0.5000 Pt
0.6560 0.8440 0.5000 Pt
0.8440 0.3440 0.5000 Pt
0.3440 0.1560 0.5000 Pt
0.3594 0.8594 0.0000 Ti
0.8594 0.6406 0.0000 Ti
0.6406 0.1406 0.0000 Ti
0.1406 0.3594 0.0000 Ti
```


Quick rundown of theoretical density, same order as above: 10.0; 7.0; 4.7; 7.9; 6.3; 5.3; 10.0; 10.2 g cm⁻³